5
Lattice="-1.0834 -0.2893 3.1061 3.0351 -0.8577 0.9787 2.7981 7.4534 3.4255" Properties=species:S:1:pos:R:3 comment="Sc2Co2Hg PBE-GGA relaxed" e_form_mev_per_atom=-111 magmom_total_mub_per_cell=2.15 n_ef_per_ev_cell=4.74 spacegroup="I4/mmm, No. 139" e_tot_ev_per_cell=-27.73 pbc="T T T"
Hg 0.0000 0.0000 0.0000
Co 3.4046 3.0111 3.2234
Co 1.3453 3.2953 4.2871
Sc 1.4185 1.3762 2.3784
Sc 3.3314 4.9302 5.1320

4
Lattice="-3.0699 -3.3686 2.3905 3.8358 -1.2209 3.2056 -1.9087 5.9757 0.4297" Properties=species:S:1:pos:R:3 comment="TbPrSm2 PBE-GGA relaxed" polymorph_energy_mev_per_atom=0 e_form_mev_per_atom=15 magmom_total_mub_per_cell=0.00 n_ef_per_ev_cell=5.88 spacegroup="I-4m2, No. 119" e_tot_ev_per_cell=-18.79 pbc="T T T"
Tb -1.5256 3.6808 3.2275
Sm -0.0002 0.0005 0.0005
Pr 1.1556 1.2288 3.2155
Sm -2.2982 0.1572 2.8100

8
Lattice="-1.4583 2.3321 3.3635 -6.5860 -2.2438 -1.2996 1.7440 -6.5699 2.5050" Properties=species:S:1:pos:R:3 comment="Th2AlAu PBE-GGA relaxed" polymorph_energy_mev_per_atom=6 e_form_mev_per_atom=-433 magmom_total_mub_per_cell=0.00 n_ef_per_ev_cell=9.41 spacegroup="Amm2, No. 38" e_tot_ev_per_cell=-47.18 pbc="T T T"
Th -3.7127 -1.6033 2.3084
Au -4.0212 -4.8290 1.6049
Al -5.1138 -2.9718 -0.1565
Al -1.0381 -1.5833 0.6477
Au -1.3437 -3.9168 2.1332
Th -0.2051 -1.6241 3.8435
Th -3.1419 -4.6424 4.6631
Th 0.9669 -5.1481 3.9887

15
Lattice="4.3174 -0.1606 0.0815 -0.7749 5.6962 0.3740 -0.3444 -2.4785 6.1894" Properties=species:S:1:pos:R:3 comment="Ni13B2 PBE-GGA relaxed" e_form_mev_per_atom=-27 magmom_total_mub_per_cell=3.59 n_ef_per_ev_cell=24.17 spacegroup="P-1, No. 2" e_tot_ev_per_cell=-88.91 pbc="T T T"
Ni 0.7258 4.0049 1.5042
B 0.6190 -0.2233 2.0156
Ni 3.3181 1.3451 4.6265
Ni 0.0000 0.0000 0.0000
B 2.5791 3.2804 4.6294
Ni -0.1200 1.7120 2.0185
Ni 0.0517 3.7685 3.8327
Ni 2.0743 2.5459 2.8995
Ni 2.8662 3.1648 0.7241
Ni 1.1238 0.5112 3.7455
Ni 0.3319 -0.1077 5.9209
Ni 2.4723 -0.9478 5.1408
Ni 3.1464 -0.7114 2.8123
Ni 2.0877 0.7795 1.1127
Ni 1.1104 2.2776 5.5323

4
Lattice="6.0232 0.0203 0.0680 -2.7244 5.3719 0.0680 -2.7244 -4.4532 3.0051" Properties=species:S:1:pos:R:3 comment="AlSb3 PBE-GGA relaxed" polymorph_energy_mev_per_atom=216 magmom_total_mub_per_cell=0.00 n_ef_per_ev_cell=2.35 spacegroup="R-3m, No. 166" raw_formation_energy_ev_per_atom=0.2679 e_tot_ev_per_cell=-15.04 pbc="T T T"
Sb 1.6494 -2.2165 1.5365
Al 0.0000 0.0000 0.0000
Sb 1.6494 2.6961 0.0680
Sb -2.7244 0.4593 1.5365

8
Lattice="2.9961 0.0000 -0.6288 -0.2031 4.2470 -0.9676 0.3243 -0.1733 8.9971" Properties=species:S:1:pos:R:3 comment="V3Ru3W2 PBE-GGA relaxed" e_form_mev_per_atom=-123 magmom_total_mub_per_cell=0.00 n_ef_per_ev_cell=8.18 spacegroup="Immm, No. 71" e_tot_ev_per_cell=-82.07 pbc="T T T"
V 0.4242 0.4807 2.0209
W 2.3438 0.9585 3.7153
Ru 1.4980 0.0000 -0.3144
V -0.1015 2.1235 -0.4838
V 2.6932 3.5930 5.3798
W 0.7735 3.1152 3.6855
Ru 1.8069 2.5886 1.1573
Ru 1.3104 1.4851 6.2435

12
Lattice="5.0419 0.0000 0.0000 2.5210 4.3664 0.0000 2.5210 1.4555 8.2236" Properties=species:S:1:pos:R:3 comment="CeTm3Ni8 PBE-GGA relaxed" e_form_mev_per_atom=-466 magmom_total_mub_per_cell=0.00 n_ef_per_ev_cell=7.48 spacegroup="R3m, No. 160" e_tot_ev_per_cell=-71.19 pbc="T T T"
Ce 7.5629 4.3664 3.1042
Ni 3.7810 2.1829 1.5253
Ni 2.5210 1.4555 3.5979
Tm 5.0419 2.9110 7.1896
Ni 5.0419 4.3670 1.5253
Ni 6.3029 2.1829 1.5253
Ni 6.2949 5.0985 5.6676
Tm 5.0419 2.9110 4.1209
Ni 7.5629 4.3664 7.7093
Ni 8.8308 5.0985 5.6676
Tm 2.5210 1.4555 8.2085
Ni 7.5629 2.9023 5.6676

6
Lattice="7.4574 -2.5288 -0.6000 7.4723 -1.0663 2.3231 -1.8767 -6.6039 3.3138" Properties=species:S:1:pos:R:3 comment="OsBr5 PBE-GGA relaxed" polymorph_energy_mev_per_atom=0 magmom_total_mub_per_cell=0.76 n_ef_per_ev_cell=4.71 spacegroup="Cm, No. 8" raw_formation_energy_ev_per_atom=0.1865 e_tot_ev_per_cell=-18.47 pbc="T T T"
Os 2.7791 -4.3354 2.1552
Br 11.5028 -7.5391 3.7139
Br -1.3058 -6.6008 3.3093
Br 8.4574 -7.1179 3.5186
Br 9.4267 -4.5070 2.2073
Br 4.8721 -3.1997 1.5763

5
Lattice="-3.0183 1.3259 1.8580 0.6608 -2.4409 2.8152 2.1849 2.5699 1.7153" Properties=species:S:1:pos:R:3 comment="YReH3 PBE-GGA relaxed" polymorph_energy_mev_per_atom=1072 magmom_total_mub_per_cell=0.00 n_ef_per_ev_cell=1.91 spacegroup="Pm-3m, No. 221" e_tot_ev_per_cell=-24.55 pbc="T T T"
H -1.5091 0.6629 0.9290
H 1.0924 1.2849 0.8577
Y 0.0000 0.0000 0.0000
H 0.3304 -1.2204 1.4076
Re -0.0863 0.7274 3.1943

10
Lattice="4.1782 0.0000 0.0000 0.0000 4.1782 0.0000 0.0000 0.0000 9.6457" Properties=species:S:1:pos:R:3 comment="Pr2P4IrRh3 PBE-GGA relaxed" e_form_mev_per_atom=-1062 magmom_total_mub_per_cell=0.00 n_ef_per_ev_cell=4.04 spacegroup="P-4m2, No. 115" e_tot_ev_per_cell=-72.74 pbc="T T T"
Pr 2.0891 0.0000 2.3291
P 0.0000 2.0891 3.4872
Rh 2.0891 0.0000 8.5617
Rh 0.0000 0.0000 4.8229
P 0.0000 0.0000 0.0000
Pr 0.0000 2.0891 7.3166
P 2.0891 2.0891 0.0000
Ir 2.0891 2.0891 4.8229
P 2.0891 0.0000 6.1585
Rh 0.0000 2.0891 1.0840

7
Lattice="5.5980 0.0000 0.0000 0.0000 5.5980 0.0000 2.7990 2.7990 7.0921" Properties=species:S:1:pos:R:3 comment="CsGa4Pd2 PBE-GGA relaxed" e_form_mev_per_atom=665 magmom_total_mub_per_cell=0.00 n_ef_per_ev_cell=5.39 spacegroup="I4/mmm, No. 139" e_tot_ev_per_cell=-18.69 pbc="T T T"
Pd 5.5980 5.5980 5.8145
Ga 2.7990 2.7990 3.6351
Pd 2.7990 2.7990 1.2776
Cs 0.0000 0.0000 0.0000
Ga 5.5980 5.5980 3.4570
Ga 2.7990 0.0000 0.0000
Ga 0.0000 2.7990 0.0000

5
Lattice="3.8025 0.0000 0.0000 0.0000 3.8025 0.0000 0.0000 0.0000 3.9282" Properties=species:S:1:pos:R:3 comment="Fe2NiRuN PBE-GGA relaxed" polymorph_energy_mev_per_atom=0 magmom_total_mub_per_cell=5.63 n_ef_per_ev_cell=6.00 spacegroup="P4/mmm, No. 123" raw_formation_energy_ev_per_atom=0.0823 e_tot_ev_per_cell=-39.90 pbc="T T T"
N 0.0000 0.0000 0.0000
Ru 0.0000 0.0000 1.9641
Fe 0.0000 1.9012 0.0000
Fe 1.9012 0.0000 0.0000
Ni 1.9012 1.9012 1.9641

4
Lattice="5.1532 0.0759 0.0000 -0.0720 5.1532 0.0000 0.0000 0.0000 3.3005" Properties=species:S:1:pos:R:3 comment="LaZr2Cu PBE-GGA relaxed" polymorph_energy_mev_per_atom=316 e_form_mev_per_atom=289 magmom_total_mub_per_cell=0.00 n_ef_per_ev_cell=5.23 spacegroup="P4/mmm, No. 123" e_tot_ev_per_cell=-24.96 pbc="T T T"
Zr 2.5406 2.6146 0.0000
Zr 0.0000 0.0000 0.0000
Cu 2.5766 0.0380 1.6503
La -0.0360 2.5766 1.6503

4
Lattice="-7.7020 0.9926 -9.1581 -10.1753 0.3592 -6.3649 -8.9312 3.8706 -7.0306" Properties=species:S:1:pos:R:3 comment="Ba2ZrTl PBE-GGA relaxed" polymorph_energy_mev_per_atom=216 e_form_mev_per_atom=350 magmom_total_mub_per_cell=0.00 n_ef_per_ev_cell=5.39 spacegroup="R-3m, No. 166" e_tot_ev_per_cell=-13.36 pbc="T T T"
Zr -6.7021 1.3056 -5.6384
Ba -13.4285 2.6159 -11.2972
Ba -26.7842 5.2177 -22.5331
Tl -20.1063 3.9168 -16.9152

8
Lattice="-3.4591 0.7869 1.8313 0.4260 -3.2914 2.2189 5.8068 5.9189 4.0735" Properties=species:S:1:pos:R:3 comment="UCoAs2 PBE-GGA relaxed" polymorph_energy_mev_per_atom=0 e_form_mev_per_atom=-574 magmom_total_mub_per_cell=3.98 n_ef_per_ev_cell=10.46 spacegroup="I4/mmm, No. 139" e_tot_ev_per_cell=-59.98 pbc="T T T"
Co 0.4156 2.7268 3.9649
Co 2.3581 0.6876 4.1587
U 1.0368 1.1277 1.4738
As 2.7951 3.0403 3.9732
As 0.2130 -1.6457 1.1094
As -0.0214 0.3741 4.1505
U 1.7369 2.2867 6.6499
As -1.7295 0.3934 0.9156

18
Lattice="7.5176 0.0000 0.0000 -3.7588 6.5104 0.0000 0.0000 0.0000 6.8368" Properties=species:S:1:pos:R:3 comment="HfTiGa PBE-GGA relaxed" polymorph_energy_mev_per_atom=94 e_form_mev_per_atom=-286 magmom_total_mub_per_cell=0.00 n_ef_per_ev_cell=20.01 spacegroup="P-62c, No. 190" e_tot_ev_per_cell=-130.41 pbc="T T T"
Hf 2.7192 4.7098 3.4184
Ti -2.2236 3.9937 1.7092
Ga 0.0000 4.3403 3.5179
Ga 3.7588 2.1701 0.0995
Ga 0.0000 4.3403 6.7373
Hf 2.0792 0.0000 3.4184
Hf -1.0396 1.8006 0.0000
Ti 1.4119 2.5878 1.7092
Ga 0.0000 0.0000 1.7092
Ga 0.0000 0.0000 5.1276
Ga 3.7588 2.1701 3.3189
Hf 2.0792 0.0000 0.0000
Ti 4.5705 0.0711 5.1276
Hf -1.0396 1.8006 3.4184
Ti 5.1707 3.9226 5.1276
Ti 1.5352 2.5167 5.1276
Ti 0.8117 6.4393 1.7092
Hf 2.7192 4.7098 0.0000

6
Lattice="5.7986 0.0000 0.3760 0.0000 5.0240 0.0000 -2.2891 0.0000 4.8450" Properties=species:S:1:pos:R:3 comment="NaPbAu PBE-GGA relaxed" e_form_mev_per_atom=-198 magmom_total_mub_per_cell=0.00 n_ef_per_ev_cell=2.06 spacegroup="P2_1/m, No. 11" e_tot_ev_per_cell=-17.80 pbc="T T T"
Pb 0.1191 1.2560 2.8067
Na 2.8580 1.2560 4.5786
Au 2.3518 1.2560 0.9198
Na 0.6515 3.7680 0.6425
Au 1.1577 3.7680 4.3012
Pb 3.3904 3.7680 2.4144

5
Lattice="5.3342 0.0000 0.0000 0.0000 5.9603 0.0000 0.0000 0.0000 5.3342" Properties=species:S:1:pos:R:3 comment="NaBSbBr2 PBE-GGA relaxed" magmom_total_mub_per_cell=2.77 n_ef_per_ev_cell=3.12 spacegroup="P4/mmm, No. 123" raw_formation_energy_ev_per_atom=1.0200 e_tot_ev_per_cell=-10.36 pbc="T T T"
Sb 0.0000 2.9801 0.0000
B 2.6671 2.9801 2.6671
Br 0.0000 0.0000 2.6671
Br 2.6671 0.0000 0.0000
Na 0.0000 0.0000 0.0000

6
Lattice="5.0440 0.0000 0.0000 2.5220 4.3635 0.2518 2.5220 0.9724 8.3860" Properties=species:S:1:pos:R:3 comment="Dy4AlHg PBE-GGA relaxed" polymorph_energy_mev_per_atom=180 e_form_mev_per_atom=-74 magmom_total_mub_per_cell=0.00 n_ef_per_ev_cell=8.70 spacegroup="R-3m, No. 166" e_tot_ev_per_cell=-22.90 pbc="T T T"
Hg 0.0000 0.0000 0.0000
Dy 2.5220 1.1540 5.2527
Dy 7.5660 4.1818 3.3851
Al 5.0440 2.6679 4.3189
Dy 5.0440 2.8460 1.2514
Dy 5.0440 2.4899 7.3864

12
Lattice="5.7864 0.0000 0.0000 0.0000 7.1491 0.0000 0.0000 0.0000 9.9992" Properties=species:S:1:pos:R:3 comment="La2Pm2NdTm PBE-GGA relaxed" e_form_mev_per_atom=53 magmom_total_mub_per_cell=0.00 n_ef_per_ev_cell=19.27 spacegroup="Pmma, No. 51" e_tot_ev_per_cell=-56.55 pbc="T T T"
Tm 0.0000 3.6287 5.0000
Pm 2.8932 5.4157 6.6752
Nd 2.8932 5.4155 3.4278
Tm 0.0000 0.0541 4.9992
Pm 0.0000 1.8421 8.3516
La 2.8932 3.6290 9.9991
Nd 2.8932 1.8409 6.5715
Pm 0.0000 5.4166 1.6476
La 0.0000 1.8423 1.7808
La 0.0000 5.4168 8.2184
La 2.8932 0.0545 0.0002
Pm 2.8932 1.8411 3.3240